[1]
{"formula": "Hf6Sn2Mo", "functional": "PBE", "state": "optimized geometry", "crystal_system": "monoclinic", "lattice_angstrom": [[4.6536, 0.0000, -0.1749], [0.0000, 6.7609, 0.0000], [-2.0440, -3.3804, 7.1418]], "species": ["Hf", "Hf", "Hf", "Hf", "Hf", "Hf", "Sn", "Sn", "Mo"], "frac_coords": [[0.8447, 0.6078, 0.6868], [0.5000, 0.7699, 0.0000], [0.8447, 0.0791, 0.6868], [0.1553, 0.3922, 0.3132], [0.5000, 0.2301, 0.0000], [0.1553, 0.9209, 0.3132], [0.6669, 0.6686, 0.3371], [0.3331, 0.3314, 0.6629], [0.0000, 0.0000, 0.0000]]}

[2]
{"formula": "HfTcSnMo", "functional": "PBE", "state": "optimized geometry", "crystal_system": "cubic", "lattice_angstrom": [[4.6416, 0.0000, 0.0000], [2.3208, 4.0198, 0.0000], [2.3208, 1.3399, 3.7899]], "species": ["Sn", "Tc", "Mo", "Hf"], "frac_coords": [[0.0000, 0.0000, 0.0000], [0.2500, 0.2500, 0.2500], [0.7500, 0.7500, 0.7500], [0.5000, 0.5000, 0.5000]]}

Ordered V results: 24.70 17.68; unit Å³ per atom.
Ordered theoretical density results: 10.49 11.53; unit g cm⁻³.
Ordered formation enthalpy at 0 K results: 0.16 -0.04; unit eV/atom.